Record 1
Here is a geometry-optimized PmGe3Ru structure from Alexandria. Energies are from PBE.

Lattice parameters (Å, degrees): 6.1783 5.7632 5.7624 90.00 90.00 90.00
Element x y z (fractional)
Pm 0.0000 0.1421 0.0000
Pm 0.5000 0.8579 0.5000
Ge 0.0000 0.9209 0.4603
Ge 0.2320 0.3300 0.5334
Ge 0.2680 0.6700 0.0334
Ge 0.5000 0.0791 0.9603
Ge 0.7320 0.6700 0.0334
Ge 0.7680 0.3300 0.5334
Ru 0.0000 0.6150 0.7324
Ru 0.5000 0.3850 0.2324

Values from the calculation:
crystal system	orthorhombic
SG	No. 31
ΔE to the lowest computed polymorph	112	meV/atom
energy of formation from the pure elements	-0.46	eV per atom
calculated density	7.51	Mg/m³

---

Record 2
Here is a geometry-optimized PmGe2Ru2 structure from Alexandria. Energies are from PBE.

Lattice parameters (Å, degrees): 5.8600 5.8600 5.8600 137.07 137.07 62.33
Element x y z (fractional)
Pm 0.0000 0.0000 0.0000
Ge 0.3682 0.3682 0.0000
Ge 0.6318 0.6318 0.0000
Ru 0.2500 0.7500 0.5000
Ru 0.7500 0.2500 0.5000

Values from the calculation:
crystal system	tetragonal
SG	No. 139
energy of formation from the pure elements	-0.67	eV per atom
calculated density	8.87	Mg/m³